# LuScGa2Au2 | OQMD via LeMat-Bulk | PBE | relaxed
# **Offset from the most stable computed form**: 0 meV/atom
data_LuScGa2Au2
_chemical_formula_sum 'Lu1 Sc1 Ga2 Au2'
_symmetry_space_group_name_H-M 'P -6 m 2'
_symmetry_Int_Tables_number 187
_symmetry_space_group_name_Hall 'P -6 2'
_cell_length_a 4.4558
_cell_length_b 4.4558
_cell_length_c 6.7796
_cell_angle_alpha 90.00
_cell_angle_beta 90.00
_cell_angle_gamma 120.00
loop_
_atom_site_label
_atom_site_fract_x
_atom_site_fract_y
_atom_site_fract_z
Lu1 0.0000 0.0000 0.0000
Sc1 0.0000 0.0000 0.5000
Ga1 0.3333 0.6667 0.2944
Au1 0.6667 0.3333 0.2426